A relaxed structure of YHoCo2Si4, computed with PBE.

Cell lengths 3.959, 8.367, 8.367 Å; angles 27.75, 90.00, 90.00 degrees
Fractional positions:
1 Y 0.000 0.000 0.000
2 Ho 0.500 0.216 0.216
3 Co 0.000 0.786 0.786
4 Co 0.500 0.428 0.428
5 Si 0.000 0.357 0.357
6 Si 0.000 0.651 0.651
7 Si 0.500 0.565 0.565
8 Si 0.500 0.857 0.857

## Properties
- total moment (μB/f.u.) = 0.0
- total energy (eV per atom) = -6.654

***

A relaxed structure of SmHoTlCo2, computed with PBE.

Cell lengths 3.911, 7.258, 7.258 Å; angles 30.65, 90.00, 90.00 degrees
Fractional positions:
1 Sm 0.000 0.000 0.000
2 Ho 0.000 0.720 0.720
3 Tl 0.500 0.358 0.358
4 Co 0.500 0.155 0.155
5 Co 0.500 0.571 0.571

## Properties
- total moment (μB/f.u.) = 1.3
- total energy (eV per atom) = -5.439

***

> What is the formula in the first record?

YHoCo2Si4

***

Copy entry 2 word for word.
A relaxed structure of SmHoTlCo2, computed with PBE.

Cell lengths 3.911, 7.258, 7.258 Å; angles 30.65, 90.00, 90.00 degrees
Fractional positions:
1 Sm 0.000 0.000 0.000
2 Ho 0.000 0.720 0.720
3 Tl 0.500 0.358 0.358
4 Co 0.500 0.155 0.155
5 Co 0.500 0.571 0.571

## Properties
- total moment (μB/f.u.) = 1.3
- total energy (eV per atom) = -5.439

***

> Among the records above, which one has the highest total energy?

SmHoTlCo2